# 1
VASP calculation (PBE) on a relaxed structure of Cs2NaCd3Hg12.

Output
Uncorrected energy (eV/atom): -0.57

Lattice parameters (Å, degrees): 9.737 9.737 9.737 64.74 64.74 64.74
Atoms (fractional coordinates):
1 Cs 0.101 0.101 0.101
2 Cs 0.899 0.899 0.899
3 Na 0.500 0.500 0.500
4 Cd 0.000 0.500 0.500
5 Cd 0.500 0.000 0.500
6 Cd 0.500 0.500 0.000
7 Hg 0.148 0.627 0.627
8 Hg 0.162 0.162 0.480
9 Hg 0.162 0.480 0.162
10 Hg 0.373 0.373 0.852
11 Hg 0.373 0.852 0.373
12 Hg 0.480 0.162 0.162
13 Hg 0.520 0.838 0.838
14 Hg 0.627 0.148 0.627
15 Hg 0.627 0.627 0.148
16 Hg 0.838 0.520 0.838
17 Hg 0.838 0.838 0.520
18 Hg 0.852 0.373 0.373

# 2
VASP calculation (PBE) on a relaxed structure of Cs2NaCd4Hg3.

Output
Uncorrected energy (eV/atom): -0.88

Lattice parameters (Å, degrees): 5.088 5.088 13.286 90.00 90.00 90.00
Atoms (fractional coordinates):
1 Cs 0.000 0.500 0.241
2 Cs 0.500 0.000 0.759
3 Na 0.000 0.000 0.500
4 Cd 0.000 0.000 0.000
5 Cd 0.000 0.500 0.640
6 Cd 0.500 0.000 0.360
7 Cd 0.500 0.500 0.000
8 Hg 0.000 0.500 0.872
9 Hg 0.500 0.000 0.128
10 Hg 0.500 0.500 0.500

# 3
VASP calculation (PBE) on a relaxed structure of CsNa2CdHg.

Output
Energy above the lowest structure with this stoichiometry (kJ per mole of atoms): 1.4

Lattice parameters (Å, degrees): 6.032 6.032 5.994 90.00 90.00 90.00
Atoms (fractional coordinates):
1 Cs 0.000 0.000 0.000
2 Na 0.000 0.500 0.500
3 Na 0.500 0.000 0.500
4 Cd 0.500 0.500 0.500
5 Hg 0.500 0.500 0.000

# 4
VASP calculation (PBE) on a relaxed structure of CsNaCd2Hg.

Output
Energy above the lowest structure with this stoichiometry (kJ per mole of atoms): 7.9

Lattice parameters (Å, degrees): 5.881 5.881 5.831 90.00 90.00 90.00
Atoms (fractional coordinates):
1 Cs 0.000 0.000 0.000
2 Na 0.500 0.500 0.000
3 Cd 0.000 0.500 0.500
4 Cd 0.500 0.000 0.500
5 Hg 0.500 0.500 0.500

# 5
VASP calculation (PBE) on a relaxed structure of CsNa2Cd2Hg2.

Output
Uncorrected energy (eV/atom): -1.00

Lattice parameters (Å, degrees): 10.543 10.543 10.543 28.75 28.75 28.75
Atoms (fractional coordinates):
1 Cs 0.000 0.000 0.000
2 Na 0.135 0.135 0.135
3 Na 0.865 0.865 0.865
4 Cd 0.243 0.243 0.243
5 Cd 0.757 0.757 0.757
6 Hg 0.432 0.432 0.432
7 Hg 0.568 0.568 0.568

# 6
VASP calculation (PBE) on a relaxed structure of CsCd2NiHg.

Output
Uncorrected energy (eV/atom): -1.78

Lattice parameters (Å, degrees): 5.250 5.250 5.321 90.00 90.00 90.00
Atoms (fractional coordinates):
1 Cs 0.000 0.000 0.000
2 Cd 0.000 0.500 0.500
3 Cd 0.500 0.000 0.500
4 Ni 0.500 0.500 0.500
5 Hg 0.500 0.500 0.000

# 7
VASP calculation (PBE) on a relaxed structure of CsCdNiHg2.

Output
Uncorrected energy (eV/atom): -1.70

Lattice parameters (Å, degrees): 5.310 5.310 5.236 90.00 90.00 90.00
Atoms (fractional coordinates):
1 Cs 0.000 0.000 0.000
2 Cd 0.500 0.500 0.000
3 Ni 0.500 0.500 0.500
4 Hg 0.000 0.500 0.500
5 Hg 0.500 0.000 0.500

# 8
VASP calculation (PBE) on a relaxed structure of Cs2CdHgO.

Output
Formation energy without anion corrections (eV per atom): -0.49

Lattice parameters (Å, degrees): 6.426 6.426 4.530 90.00 90.00 90.00
Atoms (fractional coordinates):
1 Cs 0.000 0.500 0.000
2 Cs 0.500 0.000 0.000
3 Cd 0.000 0.000 0.500
4 Hg 0.500 0.500 0.500
5 O 0.000 0.000 0.000

# 9
VASP calculation (PBE) on a relaxed structure of CsCdHgO2.

Output
Formation energy without anion corrections (eV per atom): -0.71

Lattice parameters (Å, degrees): 6.911 5.895 6.409 90.00 100.76 90.00
Atoms (fractional coordinates):
1 Cs 0.000 0.208 0.250
2 Cs 0.000 0.792 0.750
3 Cd 0.500 0.016 0.750
4 Cd 0.500 0.984 0.250
5 Hg 0.500 0.500 0.000
6 Hg 0.500 0.500 0.500
7 O 0.313 0.166 0.969
8 O 0.313 0.834 0.469
9 O 0.687 0.166 0.531
10 O 0.687 0.834 0.031

# 10
VASP calculation (PBE) on a relaxed structure of CsCd2HgP.

Output
Uncorrected energy (eV/atom): -1.62

Lattice parameters (Å, degrees): 5.350 5.350 6.931 90.00 90.00 90.00
Atoms (fractional coordinates):
1 Cs 0.000 0.000 0.000
2 Cd 0.000 0.500 0.500
3 Cd 0.500 0.000 0.500
4 Hg 0.500 0.500 0.000
5 P 0.000 0.000 0.500

# 11
VASP calculation (PBE) on a relaxed structure of CsCdHg2Pb.

Output
Energy above the lowest structure with this stoichiometry (kJ per mole of atoms): 3.2

Lattice parameters (Å, degrees): 5.846 5.846 5.771 90.00 90.00 90.00
Atoms (fractional coordinates):
1 Cs 0.000 0.000 0.000
2 Cd 0.500 0.500 0.500
3 Hg 0.000 0.500 0.500
4 Hg 0.500 0.000 0.500
5 Pb 0.500 0.500 0.000

# 12
VASP calculation (PBE) on a relaxed structure of Cs2Cd3Hg12Pb.

Output
Uncorrected energy (eV/atom): -0.72

Lattice parameters (Å, degrees): 13.375 13.375 13.375 31.54 31.54 31.54
Atoms (fractional coordinates):
1 Cs 0.142 0.142 0.142
2 Cs 0.858 0.858 0.858
3 Cd 0.000 0.500 0.500
4 Cd 0.500 0.000 0.500
5 Cd 0.500 0.500 0.000
6 Hg 0.092 0.092 0.669
7 Hg 0.092 0.669 0.092
8 Hg 0.098 0.607 0.607
9 Hg 0.331 0.908 0.908
10 Hg 0.393 0.393 0.902
11 Hg 0.393 0.902 0.393
12 Hg 0.607 0.098 0.607
13 Hg 0.607 0.607 0.098
14 Hg 0.669 0.092 0.092
15 Hg 0.902 0.393 0.393
16 Hg 0.908 0.331 0.908
17 Hg 0.908 0.908 0.331
18 Pb 0.500 0.500 0.500

# 13
VASP calculation (PBE) on a relaxed structure of Cs2CdHgPb.

Output
Energy above the lowest structure with this stoichiometry (kJ per mole of atoms): 0.0

Lattice parameters (Å, degrees): 7.640 7.640 5.592 90.00 90.00 90.00
Atoms (fractional coordinates):
1 Cs 0.000 0.500 0.000
2 Cs 0.500 0.000 0.000
3 Cd 0.000 0.000 0.500
4 Hg 0.500 0.500 0.500
5 Pb 0.000 0.000 0.000

# 14
VASP calculation (PBE) on a relaxed structure of Cs2CdHg6Pb.

Output
Uncorrected energy (eV/atom): -0.95

Lattice parameters (Å, degrees): 6.737 8.207 8.300 86.22 66.11 66.02
Atoms (fractional coordinates):
1 Cs 0.051 0.201 0.200
2 Cs 0.949 0.799 0.800
3 Cd 0.500 0.000 0.500
4 Hg 0.013 0.259 0.726
5 Hg 0.363 0.389 0.397
6 Hg 0.498 0.745 0.270
7 Hg 0.502 0.255 0.730
8 Hg 0.637 0.611 0.603
9 Hg 0.987 0.741 0.274
10 Pb 0.500 0.500 0.000

# 15
VASP calculation (PBE) on a relaxed structure of CsCdHgPb.

Output
Uncorrected energy (eV/atom): -1.43

Lattice parameters (Å, degrees): 5.804 5.804 5.804 60.00 60.00 60.00
Atoms (fractional coordinates):
1 Cs 0.000 0.000 0.000
2 Cd 0.250 0.250 0.250
3 Hg 0.750 0.750 0.750
4 Pb 0.500 0.500 0.500

# 16
VASP calculation (PBE) on a relaxed structure of Cs2Cd4HgPb3.

Output
Uncorrected energy (eV/atom): -1.77

Lattice parameters (Å, degrees): 5.285 5.285 12.406 90.00 90.00 90.00
Atoms (fractional coordinates):
1 Cs 0.000 0.500 0.249
2 Cs 0.500 0.000 0.751
3 Cd 0.000 0.000 0.500
4 Cd 0.000 0.500 0.874
5 Cd 0.500 0.000 0.126
6 Cd 0.500 0.500 0.500
7 Hg 0.500 0.500 0.000
8 Pb 0.000 0.000 0.000
9 Pb 0.000 0.500 0.629
10 Pb 0.500 0.000 0.371

# 17
VASP calculation (PBE) on a relaxed structure of CsCdHg2Pb.

Output
Energy above the lowest structure with this stoichiometry (kJ per mole of atoms): 0.0

Lattice parameters (Å, degrees): 6.215 6.215 5.690 90.00 90.00 90.00
Atoms (fractional coordinates):
1 Cs 0.000 0.000 0.000
2 Cd 0.500 0.500 0.000
3 Hg 0.000 0.500 0.500
4 Hg 0.500 0.000 0.500
5 Pb 0.500 0.500 0.500

# 18
VASP calculation (PBE) on a relaxed structure of Cs2CdHgPd.

Output
Energy above the lowest structure with this stoichiometry (kJ per mole of atoms): 0.0

Lattice parameters (Å, degrees): 6.713 6.713 5.296 90.00 90.00 90.00
Atoms (fractional coordinates):
1 Cs 0.000 0.500 0.000
2 Cs 0.500 0.000 0.000
3 Cd 0.000 0.000 0.500
4 Hg 0.500 0.500 0.500
5 Pd 0.000 0.000 0.000

# 19
VASP calculation (PBE) on a relaxed structure of CsCdHg2Pd.

Output
Uncorrected energy (eV/atom): -1.76

Lattice parameters (Å, degrees): 5.488 5.488 5.375 90.00 90.00 90.00
Atoms (fractional coordinates):
1 Cs 0.000 0.000 0.000
2 Cd 0.500 0.500 0.000
3 Hg 0.000 0.500 0.500
4 Hg 0.500 0.000 0.500
5 Pd 0.500 0.500 0.500

# 20
VASP calculation (PBE) on a relaxed structure of Cs2CdHgPd.

Output
Energy above the lowest structure with this stoichiometry (kJ per mole of atoms): 5.2

Lattice parameters (Å, degrees): 6.711 6.711 5.329 90.00 90.00 90.00
Atoms (fractional coordinates):
1 Cs 0.000 0.500 0.000
2 Cs 0.500 0.000 0.000
3 Cd 0.000 0.000 0.500
4 Hg 0.500 0.500 0.500
5 Pd 0.500 0.500 0.000

# 21
VASP calculation (PBE) on a relaxed structure of Cs2CdHg6Pd.

Output
Uncorrected energy (eV/atom): -1.15

Lattice parameters (Å, degrees): 7.588 7.588 6.582 90.00 90.00 120.00
Atoms (fractional coordinates):
1 Cs 0.333 0.667 0.304
2 Cs 0.667 0.333 0.696
3 Cd 0.000 0.000 0.500
4 Hg 0.191 0.381 0.805
5 Hg 0.191 0.809 0.805
6 Hg 0.381 0.191 0.195
7 Hg 0.619 0.809 0.805
8 Hg 0.809 0.191 0.195
9 Hg 0.809 0.619 0.195
10 Pd 0.000 0.000 0.000

# 22
VASP calculation (PBE) on a relaxed structure of CsCd2HgPt.

Output
Energy above the lowest structure with this stoichiometry (kJ per mole of atoms): 17.7

Lattice parameters (Å, degrees): 5.338 5.338 6.494 90.00 90.00 90.00
Atoms (fractional coordinates):
1 Cs 0.000 0.000 0.000
2 Cd 0.000 0.500 0.500
3 Cd 0.500 0.000 0.500
4 Hg 0.500 0.500 0.000
5 Pt 0.000 0.000 0.500

# 23
VASP calculation (PBE) on a relaxed structure of CsCdHg2Pt.

Output
Uncorrected energy (eV/atom): -1.97

Lattice parameters (Å, degrees): 5.460 5.460 5.386 90.00 90.00 90.00
Atoms (fractional coordinates):
1 Cs 0.000 0.000 0.000
2 Cd 0.500 0.500 0.000
3 Hg 0.000 0.500 0.500
4 Hg 0.500 0.000 0.500
5 Pt 0.500 0.500 0.500

# 24
VASP calculation (PBE) on a relaxed structure of Cs2CdHg6Pt.

Output
Uncorrected energy (eV/atom): -1.21

Lattice parameters (Å, degrees): 7.585 7.585 6.588 90.00 90.00 120.00
Atoms (fractional coordinates):
1 Cs 0.333 0.667 0.298
2 Cs 0.667 0.333 0.702
3 Cd 0.000 0.000 0.500
4 Hg 0.190 0.380 0.797
5 Hg 0.190 0.810 0.797
6 Hg 0.380 0.190 0.203
7 Hg 0.620 0.810 0.797
8 Hg 0.810 0.190 0.203
9 Hg 0.810 0.620 0.203
10 Pt 0.000 0.000 0.000

# 25
VASP calculation (PBE) on a relaxed structure of Cs3Cd9HgPt2.

Output
Uncorrected energy (eV/atom): -1.71

Lattice parameters (Å, degrees): 7.748 7.748 9.501 90.00 90.00 120.00
Atoms (fractional coordinates):
1 Cs 0.000 0.000 0.000
2 Cs 0.333 0.667 0.670
3 Cs 0.667 0.333 0.330
4 Cd 0.000 0.500 0.000
5 Cd 0.174 0.349 0.325
6 Cd 0.174 0.826 0.325
7 Cd 0.349 0.174 0.675
8 Cd 0.500 0.000 0.000
9 Cd 0.500 0.500 0.000
10 Cd 0.651 0.826 0.325
11 Cd 0.826 0.174 0.675
12 Cd 0.826 0.651 0.675
13 Hg 0.000 0.000 0.500
14 Pt 0.333 0.667 0.156
15 Pt 0.667 0.333 0.844